# YVIO2 | the Alexandria database | PBE+U | optimized geometry
# N(E_F), states/eV per cell: 1.284
# Final energy, eV/atom: -6.08
data_YVIO2
_cell_length_a 4.130
_cell_length_b 4.130
_cell_length_c 5.271
_cell_angle_alpha 90.00
_cell_angle_beta 90.00
_cell_angle_gamma 90.00
_symmetry_space_group_name_H-M 'P 4/m m m'
_symmetry_Int_Tables_number 123
_symmetry_space_group_name_Hall '-P 4 2'
loop_
_atom_site_label
_atom_site_fract_x
_atom_site_fract_y
_atom_site_fract_z
_atom_site_occupancy
Y1 0.000 0.000 0.000 1
V1 0.500 0.500 0.500 1
I1 0.500 0.500 0.000 1
O1 0.000 0.500 0.500 1